! P2RhPbS8, optimized geometry, DFT PBE; values from VASP
! N(E_F)	11.1	states/eV per cell
! space-group type	P-3, No. 147
! magnetic moment	0.00	μB/cell
! energy relative to the elements, uncorrected	-0.197	eV/atom
&SYSTEM
  ibrav = 0, nat = 12, ntyp = 4
/
ATOMIC_SPECIES
P 30.97 P.upf
Rh 102.91 Rh.upf
Pb 207.20 Pb.upf
S 32.06 S.upf
CELL_PARAMETERS angstrom
5.800 0.000 0.000
-2.900 5.023 0.000
0.000 0.000 8.515
ATOMIC_POSITIONS angstrom
P 0.000 3.349 1.986
P 2.900 1.674 6.529
Rh 0.000 0.000 0.000
Pb 0.000 0.000 4.258
S -1.910 3.442 7.036
S 0.874 1.648 7.036
S 1.864 0.067 1.480
S 0.000 3.349 4.017
S 2.900 1.674 4.499
S 1.036 4.956 7.036
S 2.026 3.375 1.480
S 4.810 1.581 1.480